Record 1
Computed, not measured: an optimized crystal structure of Sr2CoAs at the PBE level of DFT.

E (Ha/atom): -0.13878
Crystal system: tetragonal
Calculated formation energy (meV/atom): 3

Geometry as POSCAR:
```
Sr2CoAs
1.0
-0.4912 6.1958 0.5005
-5.0517 2.8500 -2.2884
1.3210 -4.8624 3.6731
As Co Sr
1 1 2
direct
0.5000 0.5000 0.0000
0.7500 0.2500 0.5000
0.0000 0.0000 0.0000
0.2500 0.7500 0.5000
```



Record 2
Computed, not measured: an optimized crystal structure of HfCdCu3 at the PBE level of DFT.

E (Ha/atom): -0.13486
Crystal system: cubic
Distance to the lowest polymorph of the same formula (eV per atom): 0.000
Calculated formation energy (meV/atom): 962

Geometry as POSCAR:
```
HfCdCu3
1.0
4.6272 0.0000 0.0000
0.0000 4.6272 0.0000
0.0000 0.0000 4.6272
Hf Cu Cd
1 3 1
direct
0.5000 0.5000 0.5000
0.0000 0.5000 0.0000
0.0000 0.0000 0.5000
0.5000 0.0000 0.0000
0.0000 0.0000 0.0000
```



Record 3
Computed, not measured: an optimized crystal structure of TlCrTe3 at the PBE level of DFT.

E (Ha/atom): -0.12232
Crystal system: cubic
Distance to the lowest polymorph of the same formula (eV per atom): 1.052
E_form (uncorrected) (meV/atom): 954

Geometry as POSCAR:
```
TlCrTe3
1.0
-1.9479 5.0036 1.9779
-5.2655 -1.3406 -1.7943
-1.1056 -2.4309 5.0607
Cr Tl Te
1 1 3
direct
0.5000 0.5000 0.5000
0.0000 0.0000 0.0000
0.0000 0.5000 0.0000
0.0000 0.0000 0.5000
0.5000 0.0000 0.0000
```



Record 4
Computed, not measured: an optimized crystal structure of Li3Ac2MgPd12 at the PBE level of DFT.

E (Ha/atom): -0.16563
Crystal system: trigonal
Calculated formation energy (meV/atom): -181

Geometry as POSCAR:
```
Li3Ac2MgPd12
1.0
-0.2490 3.4314 7.1905
5.6503 -1.7151 5.3546
5.4163 5.5358 1.8863
Li Ac Mg Pd
3 2 1 12
direct
0.5000 0.0000 0.0000
0.0000 0.5000 0.0000
0.0000 0.0000 0.5000
0.6156 0.6156 0.6156
0.3844 0.3844 0.3844
0.0000 0.0000 0.0000
0.3674 0.3674 0.8827
0.8653 0.8653 0.3907
0.3907 0.8653 0.8653
0.8827 0.3674 0.3674
0.8653 0.3907 0.8653
0.3674 0.8827 0.3674
0.6326 0.6326 0.1173
0.1347 0.1347 0.6093
0.6093 0.1347 0.1347
0.1173 0.6326 0.6326
0.1347 0.6093 0.1347
0.6326 0.1173 0.6326
```



Record 5
Computed, not measured: an optimized crystal structure of RbCo2AgAu at the PBE level of DFT.

E (Ha/atom): -0.10819
Crystal system: tetragonal
Calculated formation energy (meV/atom): 1318

Geometry as POSCAR:
```
RbCo2AgAu
1.0
-3.5008 3.3608 0.5222
-3.1537 -3.8691 3.7591
2.3451 1.8424 3.8638
Co Au Rb Ag
2 1 1 1
direct
0.0000 0.0000 0.5000
0.5000 0.0000 0.0000
0.5000 0.5000 0.5000
0.0000 0.5000 0.0000
0.0000 0.0000 0.0000
```



Record 6
Computed, not measured: an optimized crystal structure of Li2RePt at the PBE level of DFT.

E (Ha/atom): -0.20667
Crystal system: monoclinic
Distance to the lowest polymorph of the same formula (eV per atom): 0.084
Calculated formation energy (meV/atom): -45

Geometry as POSCAR:
```
Li2RePt
1.0
-0.4456 -4.3878 -1.6991
1.7854 -4.3686 -0.2566
-2.4627 -1.8797 3.8340
Li Pt Re
2 1 1
direct
0.0006 0.0006 0.0398
0.2386 0.2386 0.2167
0.5036 0.5036 0.5443
0.7572 0.7572 0.6992
```



Record 7
Computed, not measured: an optimized crystal structure of BaDyAu2 at the PBE level of DFT.

E (Ha/atom): -0.14486
Crystal system: trigonal
Distance to the lowest polymorph of the same formula (eV per atom): 0.081
Calculated formation energy (meV/atom): -672

Geometry as POSCAR:
```
BaDyAu2
1.0
4.4480 0.0000 0.0000
2.2240 3.8521 0.0000
2.2240 1.2840 7.3391
Au Ba Dy
2 1 1
direct
0.7331 0.7331 0.8006
0.2669 0.2669 0.1994
0.5000 0.5000 0.5000
0.0000 0.0000 0.0000
```



Record 8
Computed, not measured: an optimized crystal structure of ScFeBr2 at the PBE level of DFT.

E (Ha/atom): -0.15898
Crystal system: cubic
Distance to the lowest polymorph of the same formula (eV per atom): 0.761
E_form (uncorrected) (meV/atom): 209

Geometry as POSCAR:
```
ScFeBr2
1.0
4.9682 0.0000 0.0000
2.4841 4.3026 0.0000
2.4841 1.4342 4.0565
Br Fe Sc
2 1 1
direct
0.0000 0.0000 0.0000
0.2500 0.2500 0.2500
0.5000 0.5000 0.5000
0.7500 0.7500 0.7500
```



Record 9
Computed, not measured: an optimized crystal structure of NbSbOF2 at the PBE level of DFT.

E (Ha/atom): -0.18832
Crystal system: tetragonal
Distance to the lowest polymorph of the same formula (eV per atom): 0.851
E_form (uncorrected) (meV/atom): -546

Geometry as POSCAR:
```
NbSbOF2
1.0
4.4712 0.0000 0.0000
0.0000 4.4712 0.0000
0.0000 0.0000 4.3972
Sb Nb O F
1 1 1 2
direct
0.0000 0.0000 0.0000
0.5000 0.5000 0.5000
0.0000 0.0000 0.5000
0.0000 0.5000 0.0000
0.5000 0.0000 0.0000
```



Record 10
Computed, not measured: an optimized crystal structure of La3HgO6 at the PBE level of DFT.

E (Ha/atom): -0.25995
Crystal system: orthorhombic
E_form (uncorrected) (meV/atom): -2590

Geometry as POSCAR:
```
La3HgO6
1.0
-2.6447 -5.2402 -0.4134
3.7685 -2.3910 6.2005
-6.3413 2.9586 3.0659
La Hg O
6 2 12
direct
0.4677 0.9104 0.6788
0.9677 0.6788 0.9104
0.4186 0.3962 0.6038
0.9186 0.6038 0.3962
0.9677 0.0896 0.3212
0.4677 0.3212 0.0896
0.9729 0.1514 0.8486
0.4729 0.8486 0.1514
0.1961 0.6705 0.6441
0.6961 0.6441 0.6705
0.1903 0.4182 0.8984
0.6903 0.8984 0.4182
0.2450 0.0255 0.9745
0.6406 0.2201 0.7799
0.1406 0.7799 0.2201
0.7450 0.9745 0.0255
0.1903 0.1016 0.5818
0.6903 0.5818 0.1016
0.1961 0.3559 0.3295
0.6961 0.3295 0.3559
```



Record 11
Computed, not measured: an optimized crystal structure of MnCd2FeCo at the PBE level of DFT.

E (Ha/atom): -0.14932
Crystal system: tetragonal
Calculated formation energy (meV/atom): 1251

Geometry as POSCAR:
```
MnCd2FeCo
1.0
-1.5832 3.6628 -2.9446
-2.8284 -2.4875 -1.5734
-3.2062 1.4301 3.5027
Mn Co Fe Cd
1 1 1 2
direct
0.0000 0.0000 0.0000
0.0000 0.5000 0.0000
0.5000 0.5000 0.5000
0.0000 0.0000 0.5000
0.5000 0.0000 0.0000
```



Record 12
Computed, not measured: an optimized crystal structure of Mn2FeRu at the PBE level of DFT.

E (Ha/atom): -0.32794
Crystal system: tetragonal
Distance to the lowest polymorph of the same formula (eV per atom): 0.081
Calculated formation energy (meV/atom): 96

Geometry as POSCAR:
```
Mn2FeRu
1.0
-2.3757 -0.9538 0.2409
0.3476 -0.2247 2.5378
-2.5795 6.6636 0.9434
Ru Mn Fe
1 2 1
direct
0.0000 0.0000 0.4985
0.0000 0.0000 0.9995
0.5000 0.5000 0.2423
0.5000 0.5000 0.7597
```



Record 13
Computed, not measured: an optimized crystal structure of SrLa2Sc at the PBE level of DFT.

E (Ha/atom): -0.15576
Crystal system: orthorhombic
Distance to the lowest polymorph of the same formula (eV per atom): 0.130
Calculated formation energy (meV/atom): 229

Geometry as POSCAR:
```
SrLa2Sc
1.0
6.3409 0.0718 0.0000
-1.9443 6.0358 0.0000
0.0000 0.0000 3.7613
La Sc Sr
2 1 1
direct
0.0000 0.0000 0.0000
0.5000 0.5000 0.0000
0.5000 0.0000 0.5000
0.0000 0.5000 0.5000
```



Record 14
Computed, not measured: an optimized crystal structure of Sm4ErAu5 at the PBE level of DFT.

E (Ha/atom): -0.17633
Crystal system: tetragonal
Calculated formation energy (meV/atom): -816

Geometry as POSCAR:
```
Sm4ErAu5
1.0
-3.5756 0.5710 0.1581
-0.5114 -2.4866 -2.5866
-1.5305 -13.1730 12.9663
Sm Er Au
4 1 5
direct
0.0000 0.0000 0.1969
0.0000 0.0000 0.3991
0.0000 0.0000 0.6009
0.0000 0.0000 0.8031
0.0000 0.0000 0.0000
0.5000 0.5000 0.0923
0.5000 0.5000 0.2979
0.5000 0.5000 0.5000
0.5000 0.5000 0.7021
0.5000 0.5000 0.9077
```



Record 15
Computed, not measured: an optimized crystal structure of Cs2HgWI6 at the PBE level of DFT.

E (Ha/atom): -0.11148
Crystal system: cubic
E_form (uncorrected) (meV/atom): -607

Geometry as POSCAR:
```
Cs2HgWI6
1.0
-0.9210 6.5696 -5.8203
1.5420 -5.6401 -6.6102
-5.7968 -0.7417 -6.6105
Cs I Hg W
2 6 1 1
direct
0.7500 0.2500 0.5000
0.2500 0.7500 0.5000
0.2775 0.2775 0.4450
0.7225 0.7225 0.5550
0.2775 0.2775 0.0000
0.7225 0.7225 0.0000
0.7225 0.2775 0.0000
0.2775 0.7225 0.0000
0.0000 0.0000 0.0000
0.5000 0.5000 0.0000
```



Record 16
Computed, not measured: an optimized crystal structure of BeGaS2N at the PBE level of DFT.

E (Ha/atom): -0.13373
Crystal system: tetragonal
Distance to the lowest polymorph of the same formula (eV per atom): 0.559
E_form (uncorrected) (meV/atom): 1028

Geometry as POSCAR:
```
BeGaS2N
1.0
4.8234 0.0000 0.0000
0.0000 4.8234 0.0000
0.0000 0.0000 3.6923
Be S Ga N
1 2 1 1
direct
0.5000 0.5000 0.5000
0.0000 0.5000 0.0000
0.5000 0.0000 0.0000
0.0000 0.0000 0.0000
0.0000 0.0000 0.5000
```



Record 17
Computed, not measured: an optimized crystal structure of VPb2Cl at the PBE level of DFT.

E (Ha/atom): -0.15294
Crystal system: cubic
Distance to the lowest polymorph of the same formula (eV per atom): 0.020
E_form (uncorrected) (meV/atom): 434

Geometry as POSCAR:
```
VPb2Cl
1.0
2.5004 -4.5848 -0.2408
-2.2561 -4.0874 -2.3523
1.8490 -1.7320 -4.5729
Pb V Cl
2 1 1
direct
0.2500 0.2500 0.2500
0.7500 0.7500 0.7500
0.5000 0.5000 0.5000
0.0000 0.0000 0.0000
```



Record 18
Computed, not measured: an optimized crystal structure of CaSm2YSe4 at the PBE level of DFT.

E (Ha/atom): -0.21406
Crystal system: monoclinic
E_form (uncorrected) (meV/atom): -1845

Geometry as POSCAR:
```
CaSm2YSe4
1.0
4.1290 0.0000 0.0000
0.0000 7.1817 0.1403
0.0000 -2.4934 6.7830
Ca Sm Y Se
1 2 1 4
direct
0.0000 0.0000 0.0000
0.5000 0.0000 0.5000
0.0000 0.5000 0.5000
0.5000 0.5000 0.0000
0.5000 0.2494 0.2441
0.5000 0.7506 0.7559
0.0000 0.2527 0.7576
0.0000 0.7473 0.2424
```



Record 19
Computed, not measured: an optimized crystal structure of PmNd2Ir3 at the PBE level of DFT.

E (Ha/atom): -0.26213
Crystal system: orthorhombic
Calculated formation energy (meV/atom): -322

Geometry as POSCAR:
```
PmNd2Ir3
1.0
-3.3251 -2.1229 1.2263
2.8343 -5.0119 -0.9913
2.3648 3.6135 5.7091
Pm Nd Ir
1 2 3
direct
0.0000 0.5000 0.0000
0.6672 0.1672 0.3343
0.3328 0.8328 0.6657
0.3351 0.3351 0.6702
0.0000 0.0000 0.0000
0.6649 0.6649 0.3298
```



Record 20
Computed, not measured: an optimized crystal structure of YBeFe at the PBE level of DFT.

E (Ha/atom): -0.21168
Crystal system: cubic
Distance to the lowest polymorph of the same formula (eV per atom): 0.509
Calculated formation energy (meV/atom): 458

Geometry as POSCAR:
```
YBeFe
1.0
4.2424 0.0000 0.0000
2.1212 3.6740 0.0000
2.1212 1.2247 3.4639
Y Be Fe
1 1 1
direct
0.5000 0.5000 0.5000
0.7500 0.7500 0.7500
0.0000 0.0000 0.0000
```